1.
ScHgW3 | the Alexandria database | PBE-GGA | relaxed; E_tot = -6.699 eV per atom; distance to the lowest polymorph of the same formula = 0.0000 eV per atom; formation energy = 2.3993 eV/atom; mass density = 13.0 Mg/m³; SG = No. 221
1.0
4.664 0.000 0.000
0.000 4.664 0.000
0.000 0.000 4.664
Sc Hg W
1 1 3
Direct
0.000 0.000 0.000
0.500 0.500 0.500
0.000 0.000 0.500
0.000 0.500 0.000
0.500 0.000 0.000



2.
ScHgW2 | the Alexandria database | PBE-GGA | relaxed; E_tot = -7.744 eV per atom; formation energy = 0.3907 eV/atom; mass density = 13.8 Mg/m³; SG = No. 44
1.0
3.628 0.000 0.000
0.000 4.701 0.000
0.000 0.000 8.663
Sc Hg W
2 2 4
Direct
0.000 0.000 0.000
0.500 0.500 0.500
0.000 0.500 0.768
0.500 0.000 0.268
0.000 0.000 0.537
0.000 0.500 0.247
0.500 0.000 0.747
0.500 0.500 0.037



3.
ScHg2W | the Alexandria database | PBE-GGA | relaxed; E_tot = -4.225 eV per atom; distance to the lowest polymorph of the same formula = 0.4950 eV per atom; formation energy = 0.7469 eV/atom; mass density = 12.0 Mg/m³; SG = No. 122
1.0
4.133 0.000 0.000
0.000 4.133 0.000
0.000 0.000 20.463
Sc Hg W
4 8 4
Direct
0.000 0.000 0.000
0.000 0.500 0.250
0.500 0.000 0.750
0.500 0.500 0.500
0.237 0.250 0.625
0.250 0.737 0.875
0.250 0.763 0.375
0.263 0.250 0.125
0.737 0.750 0.125
0.750 0.237 0.375
0.750 0.263 0.875
0.763 0.750 0.625
0.000 0.000 0.500
0.000 0.500 0.750
0.500 0.000 0.250
0.500 0.500 0.000



4.
ScHgW2 | the Alexandria database | PBE-GGA | relaxed; E_tot = -7.690 eV per atom; formation energy = 0.4449 eV/atom; mass density = 14.1 Mg/m³; SG = No. 12
1.0
5.607 0.000 0.000
0.000 9.827 0.000
-1.063 0.000 2.627
Sc Hg W
2 2 4
Direct
0.000 0.000 0.000
0.500 0.500 0.000
0.000 0.500 0.000
0.500 0.000 0.000
0.250 0.250 0.500
0.250 0.750 0.500
0.750 0.250 0.500
0.750 0.750 0.500



5.
ScHgW2 | the Alexandria database | PBE-GGA | relaxed; E_tot = -7.871 eV per atom; formation energy = 0.2639 eV/atom; mass density = 13.7 Mg/m³; SG = No. 35
1.0
3.312 0.000 0.000
0.000 4.750 0.000
0.000 0.000 9.418
Sc Hg W
2 2 4
Direct
0.000 0.000 0.000
0.500 0.500 0.000
0.000 0.500 0.269
0.500 0.000 0.269
0.000 0.000 0.536
0.000 0.500 0.754
0.500 0.000 0.754
0.500 0.500 0.536



6.
ScHgW | the Alexandria database | PBE-GGA | relaxed; E_tot = -6.070 eV per atom; distance to the lowest polymorph of the same formula = 0.2087 eV per atom; formation energy = 0.4585 eV/atom; mass density = 12.2 Mg/m³; SG = No. 187
1.0
4.921 0.000 0.000
-2.461 4.262 0.000
0.000 0.000 2.780
Sc Hg W
1 1 1
Direct
0.000 0.000 0.000
0.667 0.333 0.500
0.333 0.667 0.500



7.
Sc2HgW | the Alexandria database | PBE-GGA | relaxed; E_tot = -6.335 eV per atom; formation energy = 0.1447 eV/atom; mass density = 10.0 Mg/m³; SG = No. 119
1.0
4.148 0.000 0.000
0.000 4.148 0.000
0.000 0.000 9.133
Sc Hg W
4 2 2
Direct
0.000 0.000 0.000
0.000 0.500 0.250
0.500 0.000 0.750
0.500 0.500 0.500
0.000 0.000 0.500
0.500 0.500 0.000
0.000 0.500 0.750
0.500 0.000 0.250



8.
Sc2HgW | the Alexandria database | PBE-GGA | relaxed; E_tot = -6.280 eV per atom; formation energy = 0.2000 eV/atom; mass density = 9.7 Mg/m³; SG = No. 25
1.0
3.028 0.000 0.000
0.000 4.515 0.000
0.000 0.000 5.919
Sc Hg W
2 1 1
Direct
0.000 0.000 0.000
0.500 0.500 0.297
0.500 0.500 0.780
0.000 0.000 0.483



9.
Sc2HgW | the Alexandria database | PBE-GGA | relaxed; E_tot = -6.476 eV per atom; formation energy = 0.0033 eV/atom; mass density = 9.9 Mg/m³; SG = No. 65
1.0
4.000 0.000 0.000
0.000 4.394 0.000
0.000 0.000 9.059
Sc Hg W
4 2 2
Direct
0.000 0.000 0.237
0.000 0.000 0.763
0.500 0.500 0.237
0.500 0.500 0.763
0.000 0.500 0.500
0.500 0.000 0.500
0.000 0.500 0.000
0.500 0.000 0.000



10.
ScHgW2 | the Alexandria database | PBE-GGA | relaxed; E_tot = -7.423 eV per atom; formation energy = 0.7115 eV/atom; mass density = 13.8 Mg/m³; SG = No. 123
1.0
3.558 0.000 0.000
0.000 3.558 0.000
0.000 0.000 5.848
Sc Hg W
1 1 2
Direct
0.000 0.000 0.000
0.000 0.000 0.500
0.500 0.500 0.221
0.500 0.500 0.779



11.
ScHg2W | the Alexandria database | PBE-GGA | relaxed; E_tot = -4.656 eV per atom; distance to the lowest polymorph of the same formula = 0.0644 eV per atom; formation energy = 0.3163 eV/atom; mass density = 13.6 Mg/m³; SG = No. 123
1.0
4.299 0.000 0.000
0.000 4.299 0.000
0.000 0.000 4.176
Sc Hg W
1 2 1
Direct
0.000 0.000 0.000
0.000 0.500 0.500
0.500 0.000 0.500
0.500 0.500 0.000



12.
ScHg2W | the Alexandria database | PBE-GGA | relaxed; E_tot = -4.550 eV per atom; distance to the lowest polymorph of the same formula = 0.1699 eV per atom; formation energy = 0.4217 eV/atom; mass density = 13.3 Mg/m³; SG = No. 119
1.0
4.135 0.000 0.000
0.000 4.135 0.000
0.000 0.000 9.176
Sc Hg W
2 4 2
Direct
0.000 0.000 0.000
0.500 0.500 0.500
0.000 0.000 0.500
0.000 0.500 0.250
0.500 0.000 0.750
0.500 0.500 0.000
0.000 0.500 0.750
0.500 0.000 0.250